Record 1
Here is an optimized crystal structure of SmY3Ho12 from Alexandria. Energies are from PBE-GGA.

Lattice parameters (Å, degrees): 5.008 5.008 20.015 90.00 90.00 90.00
Space group P4/mmm (No. 123)
Asymmetric unit:
Sm (0.000, 0.000, 0.000)
Y (0.000, 0.000, 0.250)
Y (0.000, 0.000, 0.500)
Ho (0.000, 0.500, 0.125)
Ho (0.000, 0.500, 0.375)
Ho (0.500, 0.500, 0.000)
Ho (0.500, 0.500, 0.250)
Ho (0.500, 0.500, 0.500)

As for the formation energy: 0.02 eV/atom.



Record 2
Here is an optimized crystal structure of HfHgP3 from Alexandria. Energies are from PBE-GGA.

Lattice parameters (Å, degrees): 4.836 4.836 4.836 90.00 90.00 90.00
Space group Pm-3m (No. 221)
Asymmetric unit:
Hf (0.000, 0.000, 0.000)
Hg (0.500, 0.500, 0.500)
P (0.000, 0.500, 0.500)

As for the energy above the lowest structure with this stoichiometry: 854 meV/atom. As for the formation energy: 1.22 eV/atom.



Record 3
Here is an optimized crystal structure of NbCoRe2Cl from Alexandria. Energies are from PBE-GGA.

Lattice parameters (Å, degrees): 4.486 4.486 4.757 90.00 90.00 90.00
Space group P4/mmm (No. 123)
Asymmetric unit:
Nb (0.000, 0.000, 0.000)
Co (0.000, 0.000, 0.500)
Re (0.000, 0.500, 0.500)
Cl (0.500, 0.500, 0.000)

The formation energy without anion corrections comes out at 1.63 eV per atom.



N(E_F) list, top to bottom, in states/eV/cell: 21.08 3.86 3.82